This record from Alexandria via LeMat-Bulk describes a crystal of KReN2O relaxed with PBEsol. The functional is meta-GGA SCAN.

Summary:
- energy relative to the elements, uncorrected (eV per atom) = -0.530
- final energy (eV per atom) = -21.378

```
KReN2O
1.0
-1.3643 2.3047 -2.8229
2.5917 -1.5054 -2.4816
-2.6084 -2.8001 -1.0254
Re K O N
1 1 1 2
Cartesian
0.0000 0.0000 0.0000
-0.6905 -1.0004 -3.1650
-1.3042 -1.4001 -0.5127
1.2959 -0.7527 -1.2408
-0.6822 1.1523 -1.4115
```


This record from Alexandria via LeMat-Bulk describes a crystal of MnCrCdMo2 relaxed with PBEsol. The functional is meta-GGA SCAN.

Summary:
- final energy (eV per atom) = -25.391

```
MnCrCdMo2
1.0
-0.9474 3.1891 -3.3165
-4.7384 -1.4137 -0.0059
-1.0020 3.3442 3.5019
Cr Mo Mn Cd
1 2 1 1
Cartesian
-0.4737 1.5946 -1.6583
-0.5010 1.6721 1.7510
-2.3692 -0.7068 -0.0029
-3.3439 2.5598 0.0898
0.0000 0.0000 0.0000
```